Record 1
Compound: LaTa2Mo
Source: the Alexandria database
Functional: GGA-PBEsol
Structure: optimized geometry

crystal system	tetragonal
E_form	740	meV/atom
energy above the most stable polymorph in this dataset	268	meV/atom
raw total energy	-39.258	eV for the cell shown
Fermi-level density of states	1.281	states/eV per atom

```
LaTa2Mo
1.0
-3.843 -0.060 0.877
0.879 -0.184 3.839
-0.022 5.063 0.248
La Ta Mo
1 2 1
Direct
0.500 0.500 0.500
0.500 0.000 0.000
0.000 0.500 0.000
0.000 0.000 0.500
```

Record 2
Compound: YTcTe2
Source: the Alexandria database
Functional: GGA-PBEsol
Structure: optimized geometry

crystal system	cubic
energy above the most stable polymorph in this dataset	624	meV/atom
raw total energy	-24.334	eV for the cell shown
Fermi-level density of states	0.883	states/eV per atom

```
YTcTe2
1.0
-1.941 2.293 -4.017
-0.339 -2.448 -4.365
-4.489 -1.389 -1.755
Tc Te Y
1 2 1
Direct
0.500 0.500 0.500
0.750 0.750 0.750
0.000 0.000 0.000
0.250 0.250 0.250
```